1.
First-principles (PBE) data for a relaxed InGa2H crystal, as listed in Alexandria.

The structure belongs to space group Fm-3m (No. 225); the cell edges are 6.601, 6.601 and 6.601 Å and the angles 90.00°, 90.00° and 90.00°. The distinct sites, in fractional coordinates, are In at (0.000, 0.000, 0.000), Ga at (0.250, 0.250, 0.250) and H at (0.000, 0.000, 0.500).

The calculation puts the relative energy among the computed polymorphs at 193 meV per atom. As for the spin magnetization: 0.00 μB/f.u. The density of states at the Fermi level comes out at 6.218 states/eV per cell.

***

2.
First-principles (PBE) data for a relaxed InGaH2 crystal, as listed in Alexandria.

The structure belongs to space group Fm-3m (No. 225); the cell edges are 6.010, 6.010 and 6.010 Å and the angles 90.00°, 90.00° and 90.00°. The distinct sites, in fractional coordinates, are In at (0.000, 0.000, 0.000), Ga at (0.000, 0.000, 0.500) and H at (0.250, 0.250, 0.250).

The calculation puts the relative energy among the computed polymorphs at 228 meV per atom. As for the spin magnetization: 0.00 μB/f.u. The density of states at the Fermi level comes out at 3.436 states/eV per cell.

***

3.
First-principles (PBE) data for a relaxed InGa2H6 crystal, as listed in Alexandria.

The structure belongs to space group Fm-3m (No. 225); the cell edges are 7.416, 7.416 and 7.416 Å and the angles 90.00°, 90.00° and 90.00°. The distinct sites, in fractional coordinates, are In at (0.000, 0.000, 0.000), Ga at (0.250, 0.250, 0.250) and H at (0.000, 0.000, 0.263).

The calculation puts the electronic total energy at -93.1 eV/cell. As for the spin magnetization: 0.00 μB/f.u. The density of states at the Fermi level comes out at 13.666 states/eV per cell.

***

4.
First-principles (PBE) data for a relaxed InGaH crystal, as listed in Alexandria.

The structure belongs to space group P-1 (No. 2); the cell edges are 4.550, 4.741 and 4.979 Å and the angles 91.91°, 91.97° and 90.55°. The distinct sites, in fractional coordinates, are In at (0.250, 0.220, 0.443), Ga at (0.249, 0.611, 0.944) and H at (0.257, 0.934, 0.065).

The calculation puts the relative energy among the computed polymorphs at 27 meV per atom. As for the spin magnetization: 0.00 μB/f.u. The density of states at the Fermi level comes out at 0.839 states/eV per cell.

***

5.
First-principles (PBE) data for a relaxed In2GaH crystal, as listed in Alexandria.

The structure belongs to space group I-42d (No. 122); the cell edges are 5.172, 5.172 and 13.230 Å and the angles 90.00°, 90.00° and 90.00°. The distinct sites, in fractional coordinates, are In at (0.154, 0.250, 0.125), Ga at (0.000, 0.000, 0.500) and H at (0.000, 0.000, 0.000).

The calculation puts the relative energy among the computed polymorphs at 0 meV per atom. As for the spin magnetization: 0.00 μB/f.u. The density of states at the Fermi level comes out at 6.396 states/eV per cell.

***

6.
First-principles (PBE) data for a relaxed In2GaH crystal, as listed in Alexandria.

The structure belongs to space group Fm-3m (No. 225); the cell edges are 6.753, 6.753 and 6.753 Å and the angles 90.00°, 90.00° and 90.00°. The distinct sites, in fractional coordinates, are In at (0.250, 0.250, 0.250), Ga at (0.000, 0.000, 0.000) and H at (0.000, 0.000, 0.500).

The calculation puts the relative energy among the computed polymorphs at 64 meV per atom. As for the spin magnetization: 0.00 μB/f.u. The density of states at the Fermi level comes out at 6.979 states/eV per cell.